DFT (PBE) results for crystalline TiAlS6 at its relaxed geometry.

Properties
- electronic total energy (eV per cell) = -37.1

Cell lengths 6.600, 6.600, 6.600 Å; angles 60.00, 60.00, 60.00 degrees
Site moments in Bohr magnetons follow the coordinates.
Fractional positions:
S 0.252 0.748 0.252  0.18
S 0.252 0.748 0.748  0.18
S 0.748 0.252 0.748  0.18
S 0.252 0.252 0.748  0.18
S 0.748 0.252 0.252  0.18
S 0.748 0.748 0.252  0.18
Al 0.500 0.500 0.500  0.00
Ti 0.000 0.000 0.000  -0.07

***

DFT (PBE) results for crystalline Nd2AuI at its relaxed geometry.

Properties
- electronic total energy (eV per cell) = -17.7
- energy relative to the lowest polymorph listed for this composition (meV per atom) = 1

Cell lengths 4.240, 4.240, 8.626 Å; angles 75.77, 75.77, 60.00 degrees
Fractional positions:
Nd 0.069 0.069 0.794
Nd 0.264 0.264 0.207
Au 0.668 0.668 0.997
I 0.499 0.499 0.502

***

DFT (PBE) results for crystalline Sb2SeIF at its relaxed geometry.

Properties
- electronic total energy (eV per cell) = -13.2
- energy relative to the lowest polymorph listed for this composition (meV per atom) = 218

Cell lengths 5.449, 5.449, 5.756 Å; angles 90.00, 90.00, 90.00 degrees
Site moments in Bohr magnetons follow the coordinates.
Fractional positions:
Se 0.000 0.000 0.000  -0.02
Sb 0.500 0.000 0.000  0.20
Sb 0.000 0.500 0.000  0.20
I 0.000 0.000 0.500  0.02
F 0.500 0.500 0.500  0.01

***

DFT (PBE) results for crystalline LiPmMgGe at its relaxed geometry.

Properties
- energy relative to the elements (meV per atom) = -324
- electronic total energy (eV per cell) = -14.2

Cell lengths 4.939, 4.939, 4.939 Å; angles 60.00, 60.00, 60.00 degrees
Fractional positions:
Pm 0.500 0.500 0.500
Mg 0.000 0.000 0.000
Li 0.750 0.750 0.750
Ge 0.250 0.250 0.250

***

DFT (PBE) results for crystalline HoPd2Au3 at its relaxed geometry.

Properties
- energy relative to the elements (meV per atom) = -472
- electronic total energy (eV per cell) = -55.3

Cell lengths 5.688, 5.688, 7.426 Å; angles 81.32, 81.32, 102.28 degrees
Fractional positions:
Au 0.605 0.395 0.250
Au 0.819 0.624 0.520
Au 0.181 0.376 0.480
Au 0.624 0.819 0.020
Au 0.376 0.181 0.980
Au 0.395 0.605 0.750
Ho 0.075 0.925 0.750
Ho 0.925 0.075 0.250
Pd 0.341 0.906 0.381
Pd 0.094 0.659 0.119
Pd 0.906 0.341 0.881
Pd 0.659 0.094 0.619

***

DFT (PBE) results for crystalline KP3 at its relaxed geometry.

Properties
- energy relative to the elements (meV per atom) = -102
- electronic total energy (eV per cell) = -35.5
- energy relative to the lowest polymorph listed for this composition (meV per atom) = 0

Cell lengths 5.185, 6.118, 6.751 Å; angles 90.00, 90.00, 90.00 degrees
Fractional positions:
P 0.000 0.318 0.994
P 0.500 0.000 0.285
P 0.500 0.818 0.006
P 0.500 0.182 0.006
P 0.000 0.500 0.715
P 0.000 0.682 0.994
K 0.000 0.000 0.583
K 0.500 0.500 0.417

***

DFT (PBE) results for crystalline La2Te2Cl at its relaxed geometry.

Properties
- electronic total energy (eV per cell) = -53.6
- energy relative to the lowest polymorph listed for this composition (meV per atom) = 0

Cell lengths 8.474, 8.474, 4.329 Å; angles 90.00, 90.00, 90.00 degrees
Fractional positions:
Cl 0.500 0.500 0.000
Cl 0.000 0.000 0.000
La 0.342 0.842 0.000
La 0.658 0.158 0.000
La 0.158 0.342 0.000
La 0.842 0.658 0.000
Te 0.144 0.644 0.500
Te 0.856 0.356 0.500
Te 0.644 0.856 0.500
Te 0.356 0.144 0.500

***

DFT (PBE) results for crystalline CaAg2Pb at its relaxed geometry.

Properties
- energy relative to the elements (meV per atom) = -66
- electronic total energy (eV per cell) = -11.7

Cell lengths 5.536, 6.172, 3.318 Å; angles 75.66, 87.29, 115.84 degrees
Fractional positions:
Ag 0.000 0.000 0.000
Ag 0.500 0.000 0.500
Ca 0.000 0.500 0.500
Pb 0.500 0.500 0.000

***

DFT (PBE) results for crystalline Ac6OsPt2I2 at its relaxed geometry.

Properties
- electronic total energy (eV per cell) = -60.9

Cell lengths 7.723, 7.723, 8.910 Å; angles 98.26, 98.26, 120.47 degrees
Fractional positions:
I 0.834 0.166 0.000
I 0.166 0.834 0.000
Ac 0.385 0.065 0.686
Ac 0.615 0.935 0.314
Ac 0.263 0.263 0.314
Ac 0.935 0.615 0.314
Ac 0.065 0.385 0.686
Ac 0.737 0.737 0.686
Os 0.000 0.000 0.500
Pt 0.668 0.332 0.500
Pt 0.332 0.668 0.500

***

DFT (PBE) results for crystalline Cs2KCdCl4 at its relaxed geometry.

Properties
- electronic total energy (eV per cell) = -44.8

Cell lengths 6.589, 8.642, 13.270 Å; angles 84.57, 75.62, 67.59 degrees
Site moments in Bohr magnetons follow the coordinates.
Fractional positions:
Cl 0.187 0.250 0.397  0.06
Cl 0.916 0.750 0.897  0.06
Cl 0.834 0.750 0.603  0.06
Cl 0.416 0.750 0.397  0.06
Cl 0.334 0.750 0.103  0.06
Cl 0.563 0.250 0.103  0.06
Cl 0.563 0.250 0.603  0.06
Cl 0.187 0.250 0.897  0.06
K 0.000 0.000 0.000  0.00
K 0.750 0.500 0.500  0.00
Cs 0.564 0.500 0.873  0.00
Cs 0.936 0.500 0.127  0.00
Cs 0.814 0.000 0.373  0.00
Cs 0.186 0.000 0.627  0.00
Cd 0.500 0.000 0.000  0.23
Cd 0.250 0.500 0.500  0.23

***

DFT (PBE) results for crystalline SrPaP2Rh4 at its relaxed geometry.

Properties
- energy relative to the elements (meV per atom) = -891
- electronic total energy (eV per cell) = -58.5

Cell lengths 4.021, 4.021, 9.732 Å; angles 90.00, 90.00, 90.00 degrees
Fractional positions:
P 0.500 0.500 0.323
P 0.500 0.500 0.677
Rh 0.000 0.500 0.798
Rh 0.000 0.500 0.202
Rh 0.500 0.000 0.798
Rh 0.500 0.000 0.202
Sr 0.000 0.000 0.500
Pa 0.000 0.000 0.000

***

DFT (PBE) results for crystalline Pr4Tl3Ag at its relaxed geometry.

Properties
- energy relative to the elements (meV per atom) = -304
- electronic total energy (eV per cell) = -31.5
- energy relative to the lowest polymorph listed for this composition (meV per atom) = 52

Cell lengths 3.939, 5.023, 12.351 Å; angles 90.00, 90.00, 90.00 degrees
Fractional positions:
Tl 0.000 0.000 0.416
Tl 0.000 0.500 0.585
Tl 0.500 0.000 0.922
Pr 0.500 0.000 0.650
Pr 0.500 0.500 0.343
Pr 0.000 0.500 0.860
Pr 0.000 0.000 0.145
Ag 0.500 0.500 0.078